[1]
KCrP2Cl PBE-GGA optimized geometry; uncorrected formation energy = 1.3617 eV per atom; magnetization = 0.00 μB/f.u.; symmetry = P4/mmm, No. 123; polymorph energy (0 for the lowest one) = 1709.3 meV per atom
1.0
6.0272 0.0000 0.0000
0.0000 6.0272 0.0000
0.0000 0.0000 5.4519
K Cr P Cl
1 1 2 1
direct
0.0000 0.0000 0.0000
0.5000 0.5000 0.5000
0.0000 0.5000 0.0000
0.5000 0.0000 0.0000
0.0000 0.0000 0.5000

***

[2]
Tl2InHg6Au PBE-GGA optimized geometry; magnetization = 0.00 μB/f.u.; energy relative to the elements = 3 kJ per mole of atoms; symmetry = Pmmn, No. 59
1.0
8.1408 0.0000 0.0000
0.0000 8.2031 0.0000
0.0000 0.0000 8.7246
Tl In Hg Au
4 2 12 2
direct
0.2500 0.0172 0.1875
0.2500 0.4828 0.1875
0.7500 0.5172 0.8125
0.7500 0.9828 0.8125
0.2500 0.7500 0.9033
0.7500 0.2500 0.0967
0.0639 0.2500 0.9153
0.0675 0.7500 0.4353
0.2500 0.0033 0.6691
0.2500 0.4967 0.6691
0.4325 0.7500 0.4353
0.4361 0.2500 0.9153
0.5639 0.7500 0.0847
0.5675 0.2500 0.5647
0.7500 0.5033 0.3309
0.7500 0.9967 0.3309
0.9325 0.2500 0.5647
0.9361 0.7500 0.0847
0.2500 0.2500 0.4332
0.7500 0.7500 0.5668

***

[3]
MnP2Br PBE-GGA optimized geometry; uncorrected formation energy = 0.6734 eV per atom; magnetization = 3.79 μB/f.u.; symmetry = Cmmm, No. 65; polymorph energy (0 for the lowest one) = 741.8 meV per atom
1.0
2.3579 -5.2228 0.0000
2.3579 5.2228 0.0000
0.0000 0.0000 3.1810
Mn P Br
1 2 1
direct
0.0000 0.0000 0.0000
0.0000 0.5000 0.5000
0.5000 0.0000 0.5000
0.5000 0.5000 0.0000

***

Record order is preserved below.
E_tot: -3.316; -1.220; -4.742 eV per atom